1.
# GGA-PBE KTlSe3, optimized geometry
data_KTlSe3
_chemical_formula_sum 'K1 Tl1 Se3'
_symmetry_space_group_name_H-M 'P m -3 m'
_symmetry_Int_Tables_number 221
_symmetry_space_group_name_Hall '-P 4 2 3'
_cell_length_a 5.976
_cell_length_b 5.976
_cell_length_c 5.976
_cell_angle_alpha 90.00
_cell_angle_beta 90.00
_cell_angle_gamma 90.00
loop_
_atom_site_label
_atom_site_type_symbol
_atom_site_fract_x
_atom_site_fract_y
_atom_site_fract_z
K1 K 0.000 0.000 0.000
Tl1 Tl 0.500 0.500 0.500
Se1 Se 0.000 0.000 0.500
# **DFT total energy**: -2.2942 eV per atom


2.
# GGA-PBE KTl2Se, optimized geometry
data_KTl2Se
_chemical_formula_sum 'K2 Tl4 Se2'
_symmetry_space_group_name_H-M 'C 1 m 1'
_symmetry_Int_Tables_number 8
_cell_length_a 11.276
_cell_length_b 4.129
_cell_length_c 6.503
_cell_angle_alpha 90.00
_cell_angle_beta 111.50
_cell_angle_gamma 90.00
loop_
_symmetry_equiv_pos_as_xyz
'x,y,z'
'x,-y,z'
'x+1/2,y+1/2,z'
'x+1/2,-y+1/2,z'
loop_
_atom_site_label
_atom_site_type_symbol
_atom_site_fract_x
_atom_site_fract_y
_atom_site_fract_z
K1 K 0.000 0.000 0.000
Tl1 Tl 0.042 0.500 0.512
Tl2 Tl 0.291 0.500 0.423
Se1 Se 0.246 0.000 0.757
# **DFT total energy**: -2.7158 eV per atom


Number 1: excess energy over the best structure of this formula in the dataset 986.9 meV/atom, formation energy (no corrections) 0.489 eV/atom. Number 2: excess energy over the best structure of this formula in the dataset 98.5 meV/atom, formation energy (no corrections) -0.387 eV/atom.